Here is an optimized crystal structure of SnWN2O from Alexandria. Energies are from PBE+U.

Output
The spin magnetization comes out at 0.0 μB per cell. Its density of states at the Fermi level is 0.269 states/eV per atom. The value obtained for the volume is 65.6 Å³ per cell. The calculation puts the total energy at -6.823 eV/atom.

Lattice parameters (Å, degrees): 4.0619 4.0619 3.9755 90.00 90.00 90.00
With the nearest neighbours (Å) after each atom.
Sites, in units of the cell vectors:
W: 0.0000 0.0000 0.0000  2 O 1.99, 4 N 2.03
O: 0.0000 0.0000 0.5000  2 W 1.99
N: 0.5000 0.0000 0.0000  2 W 2.03
N: 0.0000 0.5000 0.0000  2 W 2.03
Sn: 0.5000 0.5000 0.5000  8 N 2.84, 4 O 2.87